# YAl2Au

An optimized crystal structure of YAl2Au (PBE, Alexandria).

Cell: 5.943 5.943 3.274 Å, 105.25 105.25 120.42°
Fractional positions:
Y1 0.000 0.000 0.000
Al1 0.000 0.500 0.500
Al2 0.500 0.000 0.500
Au1 0.500 0.500 0.000

ΔE_f = -0.857 eV/f.u.
total moment = 0.00 μB per cell
space group = C2/m
electronic total energy = -18.08 eV for the cell shown